Here is crystalline ScZn2Te at its relaxed geometry from Alexandria via LeMat-Bulk. Energies are from PBE.

Summary:
The uncorrected formation energy comes out at -302 meV/atom.

The structure in extended XYZ format:
```
8
Lattice="5.657 0.000 0.000 0.000 6.899 0.000 0.000 0.000 4.215" Properties=species:S:1:pos:R:3 pbc="T T T"
Sc 0.000 0.000 0.000
Sc 2.829 3.449 0.000
Zn 1.414 1.725 2.108
Zn 1.414 5.174 2.108
Zn 4.243 1.725 2.108
Zn 4.243 5.174 2.108
Te 0.000 3.449 0.000
Te 2.829 0.000 0.000
```

Here is crystalline Sc2ZnTe2 at its relaxed geometry from Alexandria via LeMat-Bulk. Energies are from PBE.

Summary:
The uncorrected formation energy comes out at -741 meV/atom. The calculation puts the polymorph energy (0 for the lowest one) at 0 meV/atom.

The structure in extended XYZ format:
```
10
Lattice="7.837 0.000 0.000 0.000 7.837 0.000 0.000 0.000 3.875" Properties=species:S:1:pos:R:3 pbc="T T T"
Sc 1.149 2.770 0.000
Sc 2.770 6.689 0.000
Sc 5.067 1.149 0.000
Sc 6.689 5.067 0.000
Zn 0.000 0.000 0.000
Zn 3.919 3.919 0.000
Te 1.211 5.129 1.937
Te 2.708 1.211 1.937
Te 5.129 6.627 1.937
Te 6.627 2.708 1.937
```

Here is crystalline ScZnTe3 at its relaxed geometry from Alexandria via LeMat-Bulk. Energies are from PBE.

Summary:
The uncorrected formation energy comes out at -63 meV/atom. The calculation puts the polymorph energy (0 for the lowest one) at 600 meV/atom.

The structure in extended XYZ format:
```
5
Lattice="5.566 0.000 0.000 0.000 5.566 0.000 0.000 0.000 5.566" Properties=species:S:1:pos:R:3 pbc="T T T"
Sc 0.000 0.000 0.000
Zn 2.783 2.783 2.783
Te 0.000 0.000 2.783
Te 0.000 2.783 0.000
Te 2.783 0.000 0.000
```

Here is crystalline ScZn2Te at its relaxed geometry from Alexandria via LeMat-Bulk. Energies are from PBE.

Summary:
The uncorrected formation energy comes out at -350 meV/atom.

The structure in extended XYZ format:
```
12
Lattice="4.402 0.000 0.000 -2.201 3.813 0.000 0.000 0.000 15.870" Properties=species:S:1:pos:R:3 pbc="T T T"
Sc 0.000 0.000 0.000
Sc 0.000 2.542 10.580
Sc 2.201 1.271 5.290
Zn 0.000 0.000 6.610
Zn 0.000 0.000 11.987
Zn 0.000 2.542 1.320
Zn 0.000 2.542 6.697
Zn 2.201 1.271 1.407
Zn 2.201 1.271 11.900
Te 0.000 0.000 3.583
Te 0.000 2.542 14.163
Te 2.201 1.271 8.873
```

Q: The highest uncorrected formation energy belongs to which entry?
A: ScZnTe3